# 1
Density functional theory data (PBE) for Pm5HgRu4 after structural relaxation.

POSCAR file:
```
Pm5HgRu4
1.0
-2.2430 -0.1064 -2.6857
2.6287 -0.8164 -2.1630
-2.9476 -17.8915 3.1705
Pm Ru Hg
5 4 1
direct
0.5000 0.5000 0.1220 Pm
0.5000 0.5000 0.6884 Pm
0.5000 0.5000 0.5000 Pm
0.5000 0.5000 0.8780 Pm
0.5000 0.5000 0.3116 Pm
0.0000 0.0000 0.2111 Ru
0.0000 0.0000 0.7889 Ru
0.0000 0.0000 0.5954 Ru
0.0000 0.0000 0.4046 Ru
0.0000 0.0000 0.0000 Hg
```

VASP energy = -6.34 eV/atom
Energy of formation from the pure elements = -227 meV per atom
DOS(E_F) = 7.14 states/eV/f.u.

=====

# 2
Density functional theory data (PBE) for CaDy3Co after structural relaxation.

POSCAR file:
```
CaDy3Co
1.0
-4.4274 2.4150 -1.6999
-2.4172 -1.2034 4.5861
1.6967 4.5873 2.0980
Ca Dy Co
1 3 1
direct
0.5000 0.5000 0.5000 Ca
0.5000 0.0000 0.0000 Dy
0.0000 0.5000 0.0000 Dy
0.0000 0.0000 0.5000 Dy
0.0000 0.0000 0.0000 Co
```

VASP energy = -4.63 eV/atom
Energy of formation from the pure elements = -50 meV per atom
DOS(E_F) = 5.73 states/eV/f.u.

=====

# 3
Density functional theory data (PBE) for In4SeCl after structural relaxation.

POSCAR file:
```
In4SeCl
1.0
0.0000 4.3996 4.3996
4.3996 0.0000 4.3996
4.3996 4.3996 0.0000
In Se Cl
4 1 1
direct
0.3757 0.8730 0.3757 In
0.3757 0.3757 0.8730 In
0.3757 0.3757 0.3757 In
0.8730 0.3757 0.3757 In
0.7500 0.7500 0.7500 Se
0.0000 0.0000 0.0000 Cl
```

VASP energy = -2.78 eV/atom
E_form (uncorrected) = -0.06 eV/atom
DOS(E_F) = 2.06 states/eV/f.u.

=====

# 4
Density functional theory data (PBE) for TbThCdHg after structural relaxation.

POSCAR file:
```
TbThCdHg
1.0
-2.9189 -0.4312 -4.4937
-4.4573 -3.0051 -0.0319
-4.8246 2.3511 -0.3072
Hg Cd Th Tb
1 1 1 1
direct
0.2500 0.2500 0.2500 Hg
0.7500 0.7500 0.7500 Cd
0.0000 0.0000 0.0000 Th
0.5000 0.5000 0.5000 Tb
```

VASP energy = -3.55 eV/atom
Energy of formation from the pure elements = -230 meV per atom
DOS(E_F) = 5.38 states/eV/f.u.

=====

# 5
Density functional theory data (PBE) for CeSc2Zn2Ga2 after structural relaxation.

POSCAR file:
```
CeSc2Zn2Ga2
1.0
4.3871 0.0000 0.0000
2.1936 3.7994 0.0000
2.1936 1.2665 8.7537
Ce Sc Ga Zn
1 2 2 2
direct
0.0000 0.0000 0.0000 Ce
0.8691 0.8691 0.3926 Sc
0.1309 0.1309 0.6074 Sc
0.2519 0.2519 0.2442 Ga
0.7481 0.7481 0.7558 Ga
0.5908 0.5908 0.2275 Zn
0.4092 0.4092 0.7725 Zn
```

VASP energy = -4.26 eV/atom
Energy of formation from the pure elements = -371 meV per atom
DOS(E_F) = 8.68 states/eV/f.u.

=====

# 6
Density functional theory data (PBE) for BaYIn after structural relaxation.

POSCAR file:
```
BaYIn
1.0
7.4348 1.0813 -0.4758
4.6394 5.9094 0.4758
-5.7993 -3.9060 2.7897
Y Ba In
1 1 1
direct
0.7058 0.7058 0.0000 Y
0.9850 0.9850 0.0000 Ba
0.3092 0.3092 0.0000 In
```

Energy above the most stable polymorph in this dataset = 136 meV/atom
VASP energy = -3.91 eV/atom
Energy of formation from the pure elements = -201 meV per atom
DOS(E_F) = 3.72 states/eV/f.u.

=====

# 7
Density functional theory data (PBE) for Co2Pb after structural relaxation.

POSCAR file:
```
Co2Pb
1.0
1.7318 -1.9593 4.4339
3.8913 -2.7046 2.0099
5.1876 3.2684 3.6167
Pb Co
2 4
direct
0.9278 0.9278 0.2937 Pb
0.0722 0.0722 0.7063 Pb
0.3129 0.3129 0.0498 Co
0.3612 0.3612 0.6742 Co
0.6388 0.6388 0.3258 Co
0.6871 0.6871 0.9502 Co
```

VASP energy = -5.55 eV/atom
Energy of formation from the pure elements = 425 meV per atom
DOS(E_F) = 3.67 states/eV/f.u.

=====

# 8
Density functional theory data (PBE) for MnCr2Ag after structural relaxation.

POSCAR file:
```
MnCr2Ag
1.0
3.6049 0.0000 0.0000
0.0000 3.6049 0.0000
1.8024 1.8024 9.1422
Cr Mn Ag
4 2 2
direct
0.5688 0.1250 0.2500 Cr
0.8750 0.8188 0.7500 Cr
0.1812 0.6250 0.2500 Cr
0.3750 0.4312 0.7500 Cr
0.5000 0.5000 0.0000 Mn
0.2500 0.7500 0.5000 Mn
0.7500 0.2500 0.5000 Ag
0.0000 0.0000 0.0000 Ag
```

Energy above the most stable polymorph in this dataset = 621 meV/atom
VASP energy = -6.90 eV/atom
Energy of formation from the pure elements = 917 meV per atom
DOS(E_F) = 4.66 states/eV/f.u.